(1)
Density functional theory data (PBE) for an optimized crystal structure of ZrTcNi2Pb.

Calculated values
Symmetry: P4/mmm (123)
D(E_F), states/eV per cell: 3.4
Formation energy from the elements, kcal/mol of atoms: 29.29

Cell lengths 4.5913, 5.0563, 4.5913 Å; angles 90.00, 90.00, 90.00 degrees
Site moments in Bohr magnetons follow the coordinates.
Element x y z (fractional)
Zr1 0.5000 0.5000 0.5000  -0.14
Ni1 0.0000 0.0000 0.5000  0.07
Ni2 0.5000 0.0000 0.0000  0.08
Pb1 0.0000 0.0000 0.0000  -0.01
Tc1 0.0000 0.5000 0.0000  0.77


(2)
Density functional theory data (PBE) for an optimized crystal structure of K2LiTc.

Calculated values
ΔE to the lowest computed polymorph, kJ/mol of formula units: 72.2
Symmetry: R-3m (166)
D(E_F), states/eV per cell: 4.0
Formation energy from the elements, kcal/mol of atoms: 25.29

Cell lengths 12.6330, 12.6330, 12.6330 Å; angles 14.06, 14.06, 14.06 degrees
Site moments in Bohr magnetons follow the coordinates.
Element x y z (fractional)
K1 0.4916 0.4916 0.4916  -0.01
K2 0.0084 0.0084 0.0084  -0.01
Tc1 0.7500 0.7500 0.7500  0.67
Li1 0.2500 0.2500 0.2500  -0.03


(3)
Density functional theory data (PBE) for an optimized crystal structure of La2Sm3Tm8.

Calculated values
ΔE to the lowest computed polymorph, kJ/mol of formula units: 285.9
Symmetry: C2/m (12)
D(E_F), states/eV per cell: 22.7
Formation energy from the elements, kcal/mol of atoms: 5.95

Cell lengths 5.4965, 7.6398, 11.1655 Å; angles 110.01, 90.03, 90.00 degrees
Element x y z (fractional)
La1 0.4986 0.2399 0.4799
La2 0.5014 0.7601 0.5201
Tm1 0.4996 0.6053 0.7860
Tm2 0.0001 0.8753 0.7506
Tm3 0.4996 0.1808 0.7860
Tm4 0.0009 0.6585 0.3171
Tm5 0.5004 0.8192 0.2140
Tm6 0.5004 0.3947 0.2140
Tm7 0.9999 0.1247 0.2494
Tm8 0.9991 0.3415 0.6829
Sm1 0.5000 0.0000 0.0000
Sm2 0.0000 0.2941 0.0000
Sm3 0.0000 0.7059 0.0000